# GGA+U V2O3, relaxed
# magnetic moment: 4.00 μB/f.u.
# SG: P2_1/m, No. 11
# electronic total energy: -7.97 eV/atom
data_V2O3
_chemical_formula_sum 'V12 O18'
_cell_length_a 3.1126
_cell_length_b 7.6505
_cell_length_c 13.3324
_cell_angle_alpha 81.33
_cell_angle_beta 90.00
_cell_angle_gamma 90.00
_space_group_name_H-M_alt 'P 1'
_space_group_IT_number 1
_space_group_name_Hall 'P 1'
loop_
_atom_site_label
_atom_site_fract_x
_atom_site_fract_y
_atom_site_fract_z
V1 0.2500 0.8729 0.4293
O1 0.7500 0.3670 0.4743
O2 0.2500 0.9830 0.2712
O3 0.2500 0.6853 0.1719
V2 0.2500 0.8171 0.7174
V3 0.2500 0.8134 0.0163
O4 0.2500 0.3483 0.2926
O5 0.2500 0.7222 0.8655
V4 0.2500 0.5023 0.4009
O6 0.2500 0.3798 0.9743
V5 0.7500 0.1829 0.2826
V6 0.7500 0.1866 0.9837
O7 0.7500 0.3147 0.8281
O8 0.2500 0.6330 0.5257
V7 0.7500 0.8221 0.2171
O9 0.2500 0.3049 0.6395
O10 0.7500 0.9458 0.0741
O11 0.2500 0.9595 0.5748
O12 0.7500 0.6951 0.3605
V8 0.7500 0.4977 0.5991
V9 0.2500 0.1779 0.7829
V10 0.2500 0.4519 0.1128
O13 0.7500 0.6202 0.0257
V11 0.7500 0.1271 0.5707
O14 0.7500 0.2778 0.1345
V12 0.7500 0.5481 0.8872
O15 0.7500 0.0170 0.7288
O16 0.7500 0.6517 0.7074
O17 0.2500 0.0542 0.9259
O18 0.7500 0.0405 0.4252